# 1
A plane-wave DFT calculation with PBE was carried out for a geometry-optimized Hf2CdC structure.

- Formation energy: 0.909 eV/atom
- Raw total energy: -6.6029 eV per atom
- SG: Fm-3m, No. 225

```
Hf2CdC
1.0
-2.107 -3.719 -1.721
-0.086 -3.923 2.415
-3.950 -1.476 1.857
C Hf Cd
1 2 1
Direct
0.000 0.000 0.000
0.250 0.250 0.250
0.750 0.750 0.750
0.500 0.500 0.500
```

# 2
A plane-wave DFT calculation with PBE was carried out for a geometry-optimized Hf2CdC structure.

- Formation energy: -0.582 eV/atom
- Raw total energy: -8.0939 eV per atom
- SG: R-3m, No. 166

```
Hf2CdC
1.0
-0.870 1.541 -2.778
1.778 -0.418 -2.741
-4.022 -5.509 -3.749
C Hf Cd
1 2 1
Direct
0.000 0.000 0.000
0.721 0.721 0.836
0.279 0.279 0.164
0.500 0.500 0.500
```

# 3
A plane-wave DFT calculation with PBE was carried out for a geometry-optimized HfCdC3 structure.

- Formation energy: 2.676 eV/atom
- Raw total energy: -5.0321 eV per atom
- SG: Pm-3m, No. 221

```
HfCdC3
1.0
4.133 0.000 0.000
0.000 4.133 0.000
0.000 0.000 4.133
C Hf Cd
3 1 1
Direct
0.000 0.500 0.000
0.000 0.000 0.500
0.500 0.000 0.000
0.500 0.500 0.500
0.000 0.000 0.000
```

# 4
A plane-wave DFT calculation with PBE was carried out for a geometry-optimized Hf2CdC structure.

- Formation energy: -0.148 eV/atom
- Raw total energy: -7.6592 eV per atom
- SG: P-6m2, No. 187

```
Hf2CdC
1.0
-1.843 -2.184 -1.542
0.109 0.030 3.246
-6.102 5.037 0.160
Hf Cd C
2 1 1
Direct
0.466 0.534 0.324
0.466 0.534 0.676
0.800 0.200 0.000
0.133 0.867 0.500
```